The following is a DFT calculation (PBE) of a geometry-optimized Rb2VAgSe4 structure.

The space group is Fddd (No. 70, origin choice 2) and the conventional cell measures 6.038, 14.132 and 24.500 Å, with angles of 90.00, 90.00 and 90.00 degrees. The asymmetric unit holds Rb at (0.125, 0.125, 0.306), V at (0.125, 0.125, 0.125), Ag at (0.125, 0.125, 0.625) and Se at (0.083, 0.277, 0.431).

For the magnetic moment, the calculation gives 0.00 μB/f.u. As for the energy relative to the elements, uncorrected: -874 meV/atom. As for the calculated density: 4.10 g cm⁻³.

***

The following is a DFT calculation (PBE) of a geometry-optimized Pr8Si3I4O structure.

The space group is R-3m (No. 166, hexagonal axes) and the conventional cell measures 8.4045, 8.4045 and 23.6431 Å, with angles of 90.00, 90.00 and 120.00 degrees. The asymmetric unit holds Pr at (0.0000, 0.0000, 0.2330), Pr at (0.0257, 0.5129, 0.2286), Si at (0.0000, 0.5000, 0.5000), I at (0.0000, 0.0000, 0.0000), I at (0.0000, 0.5000, 0.0000) and O at (0.0000, 0.0000, 0.5000).

For the density of states at the Fermi level, the calculation gives 0.449 states/eV per atom. For the magnetic moment, the calculation gives 0.00 μB/f.u. As for the energy relative to the elements, uncorrected: -1133 meV/atom. As for the calculated density: 5.98 g cm⁻³.

***

The following is a DFT calculation (PBE) of a geometry-optimized MoAsH3 structure.

The space group is Pm-3m (No. 221) and the conventional cell measures 3.581, 3.581 and 3.581 Å, with angles of 90.00, 90.00 and 90.00 degrees. The asymmetric unit holds Mo at (0.000, 0.000, 0.000), As at (0.500, 0.500, 0.500) and H at (0.000, 0.000, 0.500).

For the density of states at the Fermi level, the calculation gives 0.331 states/eV per atom. The value obtained for the distance to the lowest polymorph of the same formula is 0.00 eV/f.u. For the magnetic moment, the calculation gives 0.00 μB/f.u. As for the calculated density: 6.29 g cm⁻³.

***

The following is a DFT calculation (PBE) of a geometry-optimized Ca2Ac3PuN6 structure.

The space group is C2/m (No. 12) and the conventional cell measures 6.470, 10.953 and 6.434 Å, with angles of 90.00, 109.57 and 90.00 degrees. The asymmetric unit holds Ca at (0.000, 0.165, 0.000), Ac at (0.000, 0.000, 0.500), Ac at (0.000, 0.332, 0.500), Pu at (0.000, 0.500, 0.000), N at (0.210, 0.356, 0.215) and N at (0.230, 0.500, 0.745).

For the density of states at the Fermi level, the calculation gives 0.502 states/eV per atom. For the magnetic moment, the calculation gives 2.99 μB/f.u. As for the energy relative to the elements, uncorrected: -1017 meV/atom. As for the calculated density: 8.42 g cm⁻³.

***

The following is a DFT calculation (PBE) of a geometry-optimized PWCS2 structure.

The space group is P4/mmm (No. 123) and the conventional cell measures 4.610, 4.610 and 4.818 Å, with angles of 90.00, 90.00 and 90.00 degrees. The asymmetric unit holds P at (0.000, 0.000, 0.000), W at (0.000, 0.000, 0.500), C at (0.500, 0.500, 0.000) and S at (0.000, 0.500, 0.500).

For the density of states at the Fermi level, the calculation gives 0.801 states/eV per atom. The value obtained for the distance to the lowest polymorph of the same formula is 1.35 eV/f.u. For the magnetic moment, the calculation gives 1.80 μB/f.u. As for the energy relative to the elements, uncorrected: 1580 meV/atom. As for the calculated density: 4.72 g cm⁻³.

***

The following is a DFT calculation (PBE) of a geometry-optimized AsWSe structure.

The space group is P3m1 (No. 156) and the conventional cell measures 3.2628, 3.2628 and 7.3187 Å, with angles of 90.00, 90.00 and 120.00 degrees. The asymmetric unit holds As at (0.0000, 0.0000, 0.0000), W at (0.3333, 0.6667, 0.7506) and Se at (0.6667, 0.3333, 0.5196).

For the density of states at the Fermi level, the calculation gives 0.761 states/eV per atom. The value obtained for the distance to the lowest polymorph of the same formula is 0.16 eV/f.u. For the magnetic moment, the calculation gives 0.00 μB/f.u. As for the energy relative to the elements, uncorrected: -67 meV/atom. As for the calculated density: 8.31 g cm⁻³.

***

Question: Among the records above, which one has the lowest calculated density?
Answer: Rb2VAgSe4

***

Question: Look up the magnetic moment of the fourth one.
Answer: 2.99 μB/f.u.